(1)
A relaxed structure of NaCu2B2, computed with GGA-PBE.

Lattice parameters (Å, degrees): 6.7754 6.7754 2.2880 90.00 90.00 90.00
Fractional positions:
Na1 0.0000 0.0000 0.0000
Na2 0.5000 0.5000 0.0000
B1 0.1551 0.6551 0.5000
B2 0.6551 0.8449 0.5000
B3 0.8449 0.3449 0.5000
B4 0.3449 0.1551 0.5000
Cu1 0.3623 0.8623 0.0000
Cu2 0.8623 0.6377 0.0000
Cu3 0.6377 0.1377 0.0000
Cu4 0.1377 0.3623 0.0000

Results
* volume: 10.5 Å³/atom
* uncorrected energy: -3.93 eV per atom
* DOS(E_F): 1.3 states/eV/f.u.

---

(2)
A relaxed structure of Na2CuB, computed with GGA-PBE.

Lattice parameters (Å, degrees): 10.5179 10.5179 7.6791 46.78 46.78 90.00
Fractional positions:
Na1 0.3837 0.1250 0.2500
Na2 0.3663 0.6250 0.2500
Na3 0.3750 0.6163 0.7500
Na4 0.8750 0.6337 0.7500
B1 0.5000 0.5000 0.0000
B2 0.2500 0.7500 0.5000
Cu1 0.0000 0.0000 0.0000
Cu2 0.7500 0.2500 0.5000

Results
* volume: 26.4 Å³/atom
* uncorrected energy: -2.86 eV per atom
* DOS(E_F): 3.2 states/eV/f.u.

---

(3)
A relaxed structure of Na2CuBO4, computed with GGA-PBE.

Lattice parameters (Å, degrees): 4.8052 5.6377 9.0232 83.48 74.56 64.78
Fractional positions:
Na1 0.1842 0.0000 0.6315
Na2 0.8158 0.0000 0.3685
Na3 0.5658 0.5000 0.8685
Na4 0.9342 0.5000 0.1315
Cu1 0.7500 0.5000 0.5000
Cu2 0.0000 0.0000 0.0000
B1 0.2500 0.5000 0.5000
B2 0.5000 0.0000 0.0000
O1 0.3474 0.8294 0.0891
O2 0.2659 0.1706 0.9109
O3 0.8232 0.8294 0.9109
O4 0.5635 0.1706 0.0891
O5 0.4026 0.6706 0.4109
O6 0.4841 0.3294 0.5891
O7 0.9268 0.6706 0.5891
O8 0.1865 0.3294 0.4109

Results
* volume: 13.3 Å³/atom
* E_form (uncorrected): -1.3191 eV/atom
* DOS(E_F): 2.1 states/eV/f.u.

---

(4)
A relaxed structure of NaCuB2O4, computed with GGA-PBE.

Lattice parameters (Å, degrees): 5.1865 5.2856 5.2856 75.34 60.62 60.62
Fractional positions:
Na1 0.0000 0.0000 0.0000
Cu1 0.0000 0.5000 0.5000
B1 0.5000 0.7303 0.2697
B2 0.5000 0.2697 0.7303
O1 0.6391 0.3546 0.8103
O2 0.3609 0.1897 0.6454
O3 0.8040 0.6454 0.1897
O4 0.1960 0.8103 0.3546

Results
* volume: 13.8 Å³/atom
* E_form (uncorrected): -1.6289 eV/atom
* DOS(E_F): 0.9 states/eV/f.u.

---

Question: What is the formula in the first record?
Answer: NaCu2B2